MoOsPt2: relaxed, PBE.

Cell: 3.331 3.331 5.606 Å, 90.00 90.00 90.00°
Space group P4mm (No. 99)
One atom of each set of equivalent atoms:
Mo  0.000  0.000  0.000 (multiplicity 1)
Os  0.500  0.500  0.236 (multiplicity 1)
Pt  0.000  0.000  0.486 (multiplicity 1)
Pt  0.500  0.500  0.738 (multiplicity 1)

Computed properties:
Energy relative to the lowest polymorph listed for this composition = 201 meV/atom
Crystal system = tetragonal

MoOs4Pt: relaxed, PBE.

Cell: 7.228 7.228 7.228 Å, 90.00 90.00 90.00°
Space group F-43m (No. 216)
One atom of each set of equivalent atoms:
Mo  0.000  0.000  0.000 (multiplicity 4)
Os  0.125  0.125  0.625 (multiplicity 16)
Pt  0.250  0.250  0.250 (multiplicity 4)

Computed properties:
Crystal system = cubic

MoOsPt2: relaxed, PBE.

Cell: 2.745 4.055 5.456 Å, 90.00 90.00 90.00°
Space group Pmmm (No. 47)
One atom of each set of equivalent atoms:
Mo  0.000  0.000  0.000 (multiplicity 1)
Os  0.000  0.000  0.500 (multiplicity 1)
Pt  0.500  0.500  0.251 (multiplicity 2)

Computed properties:
Energy relative to the lowest polymorph listed for this composition = 82 meV/atom
Crystal system = orthorhombic

MoOs2Pt: relaxed, PBE.

Cell: 3.342 3.342 5.550 Å, 90.00 90.00 90.00°
Space group P4mm (No. 99)
One atom of each set of equivalent atoms:
Mo  0.000  0.000  0.000 (multiplicity 1)
Os  0.000  0.000  0.464 (multiplicity 1)
Os  0.500  0.500  0.250 (multiplicity 1)
Pt  0.500  0.500  0.735 (multiplicity 1)

Computed properties:
Energy relative to the lowest polymorph listed for this composition = 395 meV/atom
Crystal system = tetragonal

MoOsPt2: relaxed, PBE.

Cell: 3.405 3.405 5.397 Å, 90.00 90.00 90.00°
Space group P4/mmm (No. 123)
One atom of each set of equivalent atoms:
Mo  0.000  0.000  0.000 (multiplicity 1)
Os  0.000  0.000  0.500 (multiplicity 1)
Pt  0.500  0.500  0.253 (multiplicity 2)

Computed properties:
Energy relative to the lowest polymorph listed for this composition = 324 meV/atom
Crystal system = tetragonal

MoOs2Pt: relaxed, PBE.

Cell: 2.7512 2.7512 27.4685 Å, 90.00 90.00 120.00°
Space group R-3m (No. 166, hexagonal axes)
One atom of each set of equivalent atoms:
Mo  0.0000  0.0000  0.0000 (multiplicity 3)
Os  0.0000  0.0000  0.2518 (multiplicity 6)
Pt  0.0000  0.0000  0.5000 (multiplicity 3)

Computed properties:
Energy relative to the lowest polymorph listed for this composition = 163 meV/atom
Crystal system = trigonal

Number 1: DFT total energy -33.8 eV/cell. Number 2: DFT total energy -234.3 eV/cell. Number 3: DFT total energy -34.3 eV/cell. Number 4: DFT total energy -38.0 eV/cell. Number 5: DFT total energy -33.3 eV/cell. Number 6: DFT total energy -116.8 eV/cell.